Cs2RbYC | PBE-GGA | optimized geometry

E_form (meV per atom): 826

Lattice parameters (Å, degrees): 8.531 8.531 4.332 90.00 90.00 90.00
Atoms (fractional coordinates):
Cs 0.000 0.500 0.000
Cs 0.500 0.000 0.000
Rb 0.000 0.000 0.500
Y 0.500 0.500 0.000
C 0.500 0.500 0.500